VASP calculation (PBE) on a relaxed PPb2Se crystal.

Cell: 4.2328 4.2328 20.8304 Å, 90.00 90.00 120.00°
Space group R-3m (No. 166, hexagonal axes)
Unique sites:
P: 0.0000 0.0000 0.0000 x3
Pb: 0.0000 0.0000 0.2571 x6
Se: 0.0000 0.0000 0.5000 x3

## Properties
The formation energy without anion corrections is -54 kJ/mol of formula units. The energy above the lowest structure with this stoichiometry is 0 meV per atom.